*P*
Density functional theory data (PBE-GGA) for crystalline PrHo2S at its relaxed geometry.

## Properties
- SG: No. 166
- Total magnetic moment: 0.00 μB/f.u.
- Density of states at the Fermi level: 4.7 states/eV per cell

Cell lengths 10.407, 10.407, 10.407 Å; angles 20.22, 20.22, 20.22 degrees
Fractional positions:
Pr  0.000  0.000  0.000
Ho  0.113  0.113  0.113
Ho  0.887  0.887  0.887
S  0.500  0.500  0.500



*Q*
Density functional theory data (PBE-GGA) for crystalline PrHo2S at its relaxed geometry.

## Properties
- SG: No. 160
- Total magnetic moment: 0.00 μB/f.u.
- Density of states at the Fermi level: 4.3 states/eV per cell

Cell lengths 9.660, 9.660, 9.660 Å; angles 22.21, 22.21, 22.21 degrees
Fractional positions:
Pr  0.000  0.000  0.000
Ho  0.226  0.226  0.226
Ho  0.441  0.441  0.441
S  0.833  0.833  0.833



Stability check: which of them is least stable? *P*.



*P*
Density functional theory data (PBE-GGA) for crystalline PrHoS at its relaxed geometry.

## Properties
- SG: No. 164
- Total magnetic moment: 0.00 μB/f.u.
- Density of states at the Fermi level: 5.0 states/eV per cell

Cell lengths 3.859, 3.859, 13.068 Å; angles 90.00, 90.00, 120.00 degrees
Fractional positions:
Pr  0.000  0.000  0.137
Pr  0.000  0.000  0.863
Ho  0.333  0.667  0.387
Ho  0.667  0.333  0.613
S  0.333  0.667  0.730
S  0.667  0.333  0.270



*Q*
Density functional theory data (PBE-GGA) for crystalline PrHoS at its relaxed geometry.

## Properties
- SG: No. 156
- Total magnetic moment: 0.02 μB/f.u.
- Density of states at the Fermi level: 1.1 states/eV per cell

Cell lengths 3.860, 3.860, 6.515 Å; angles 90.00, 90.00, 120.00 degrees
Fractional positions:
Pr  0.000  0.000  0.000
Ho  0.667  0.333  0.479
S  0.333  0.667  0.721



Stability check: which of them is least stable? *P*.



*P*
Density functional theory data (PBE-GGA) for crystalline PrHo2S4 at its relaxed geometry.

## Properties
- SG: No. 62
- Total magnetic moment: 0.00 μB/f.u.
- Density of states at the Fermi level: 8.2 states/eV per cell

Cell lengths 11.858, 3.884, 14.222 Å; angles 90.00, 90.00, 90.00 degrees
Fractional positions:
Pr  0.243  0.250  0.167
Pr  0.257  0.750  0.667
Pr  0.743  0.250  0.333
Pr  0.757  0.750  0.833
Ho  0.065  0.250  0.390
Ho  0.089  0.250  0.904
Ho  0.411  0.750  0.404
Ho  0.435  0.750  0.890
Ho  0.565  0.250  0.110
Ho  0.589  0.250  0.596
Ho  0.911  0.750  0.096
Ho  0.935  0.750  0.610
S  0.031  0.750  0.783
S  0.094  0.250  0.579
S  0.131  0.750  0.035
S  0.203  0.750  0.320
S  0.297  0.250  0.820
S  0.369  0.250  0.535
S  0.406  0.750  0.079
S  0.469  0.250  0.283
S  0.531  0.750  0.717
S  0.594  0.250  0.921
S  0.631  0.750  0.465
S  0.703  0.750  0.180
S  0.797  0.250  0.680
S  0.869  0.250  0.965
S  0.906  0.750  0.421
S  0.969  0.250  0.217



*Q*
Density functional theory data (PBE-GGA) for crystalline PrHo2S4 at its relaxed geometry.

## Properties
- SG: No. 63
- Total magnetic moment: 0.00 μB/f.u.
- Density of states at the Fermi level: 2.7 states/eV per cell

Cell lengths 6.756, 6.756, 13.217 Å; angles 90.00, 90.00, 146.69 degrees
Fractional positions:
Pr  0.124  0.876  0.750
Pr  0.876  0.124  0.250
Ho  0.370  0.630  0.568
Ho  0.370  0.630  0.932
Ho  0.630  0.370  0.068
Ho  0.630  0.370  0.432
S  0.000  0.000  0.000
S  0.000  0.000  0.500
S  0.272  0.728  0.118
S  0.272  0.728  0.382
S  0.460  0.540  0.750
S  0.540  0.460  0.250
S  0.728  0.272  0.618
S  0.728  0.272  0.882



Stability check: which of them is least stable? *P*.



*P*
Density functional theory data (PBE-GGA) for crystalline Pr4Ho3S8 at its relaxed geometry.

## Properties
- SG: No. 166
- Total magnetic moment: 0.00 μB/f.u.
- Density of states at the Fermi level: 6.8 states/eV per cell

Cell lengths 8.681, 8.681, 8.681 Å; angles 53.62, 53.62, 53.62 degrees
Fractional positions:
Pr  0.000  0.000  0.000
Pr  0.149  0.149  0.149
Pr  0.500  0.500  0.500
Pr  0.851  0.851  0.851
Ho  0.000  0.500  0.500
Ho  0.500  0.000  0.500
Ho  0.500  0.500  0.000
S  0.249  0.249  0.735
S  0.249  0.735  0.249
S  0.265  0.751  0.751
S  0.271  0.271  0.271
S  0.729  0.729  0.729
S  0.735  0.249  0.249
S  0.751  0.265  0.751
S  0.751  0.751  0.265



*Q*
Density functional theory data (PBE-GGA) for crystalline Pr4Ho3S8 at its relaxed geometry.

## Properties
- SG: No. 12
- Total magnetic moment: 0.00 μB/f.u.
- Density of states at the Fermi level: 6.6 states/eV per cell

Cell lengths 7.999, 7.999, 7.987 Å; angles 119.91, 119.91, 90.04 degrees
Fractional positions:
Pr  0.000  0.000  0.000
Pr  0.000  0.500  0.000
Pr  0.500  0.000  0.000
Pr  0.500  0.500  0.500
Ho  0.000  0.500  0.500
Ho  0.500  0.000  0.500
Ho  0.500  0.500  0.000
S  0.245  0.755  0.500
S  0.251  0.251  0.513
S  0.253  0.253  0.992
S  0.257  0.743  0.000
S  0.743  0.257  0.000
S  0.747  0.747  0.008
S  0.749  0.749  0.487
S  0.755  0.245  0.500



Stability check: which of them is least stable? *P*.